Material: MnRe2Cl
Method: DFT, PBE
State: optimized geometry

a b c (Å): 5.469 5.469 4.137
angles (deg): 94.90 94.90 30.35
Fractional coordinates of all 4 atoms:
Mn  0.000  0.000  0.000
Re  0.295  0.295  0.780
Re  0.705  0.705  0.220
Cl  0.500  0.500  0.500

## Properties
Formation energy from raw total energies: 573 meV per atom
Volume: 62 Å³/f.u.
Distance to the lowest polymorph of the same formula: 373 meV per atom